Record 1
VASP calculation (GGA-PBE) on crystalline Sr2CeCl8 at its relaxed geometry.

* symmetry: C2/m
* uncorrected formation energy: -2.147 eV/atom
* total DFT energy (no corrections): -4.3350 eV per atom
* crystal system: monoclinic

a = 8.2909 Å, b = 8.2909 Å, c = 7.6013 Å
α = 92.08°, β = 92.08°, γ = 45.00°
Fractional positions:
Sr 0.1406 0.1406 0.0443
Sr 0.8594 0.8594 0.9557
Ce 0.0000 0.0000 0.5000
Cl 0.1668 0.1668 0.4316
Cl 0.2283 0.7242 0.2253
Cl 0.2758 0.7717 0.7747
Cl 0.3100 0.3100 0.9261
Cl 0.6900 0.6900 0.0739
Cl 0.7242 0.2283 0.2253
Cl 0.7717 0.2758 0.7747
Cl 0.8332 0.8332 0.5684

---

Record 2
VASP calculation (GGA-PBE) on crystalline SrCeCl5 at its relaxed geometry.

* symmetry: C2/c
* uncorrected formation energy: -2.278 eV/atom
* total DFT energy (no corrections): -4.6846 eV per atom
* crystal system: monoclinic

a = 7.5351 Å, b = 7.5351 Å, c = 10.4762 Å
α = 110.29°, β = 110.29°, γ = 71.19°
Fractional positions:
Sr 0.0400 0.9600 0.7500
Sr 0.9600 0.0400 0.2500
Ce 0.5000 0.5000 0.0000
Ce 0.5000 0.5000 0.5000
Cl 0.1669 0.7868 0.0333
Cl 0.2132 0.8331 0.4667
Cl 0.2198 0.2959 0.3669
Cl 0.2959 0.2198 0.8669
Cl 0.3852 0.6148 0.7500
Cl 0.6148 0.3852 0.2500
Cl 0.7041 0.7802 0.1331
Cl 0.7802 0.7041 0.6331
Cl 0.7868 0.1669 0.5333
Cl 0.8331 0.2132 0.9667

---

> Which value of total DFT energy (no corrections) does entry 2 give?

-4.6846 eV per atom

---

> Number 1 is which compound?

Sr2CeCl8